# 1
VASP calculation (PBE) on a geometry-optimized NaNbN2F structure.

abc: 4.058 4.058 4.257
angles: 90.00 90.00 90.00
Space group P4/mmm (No. 123)
Unique sites:
1 Na 0.000 0.000 0.000
2 Nb 0.500 0.500 0.500
3 N 0.000 0.500 0.500
4 F 0.500 0.500 0.000

Output
- Uncorrected formation energy: -4.49 eV/f.u.
- Magnetization: 0.39 μB per cell
- Fermi-level density of states: 1.62 states/eV per cell

# 2
VASP calculation (PBE) on a geometry-optimized La2SmCuSe5 structure.

abc: 4.142 17.563 12.593
angles: 90.00 90.00 90.00
Space group Cmc2_1 (No. 36)
Unique sites:
1 La 0.000 0.113 0.000
2 La 0.000 0.117 0.348
3 Sm 0.000 0.178 0.678
4 Cu 0.000 0.446 0.078
5 Se 0.000 0.016 0.669
6 Se 0.000 0.302 0.342
7 Se 0.000 0.311 0.012
8 Se 0.000 0.346 0.673
9 Se 0.000 0.496 0.404

Output
- Uncorrected formation energy: -15.23 eV/f.u.
- Magnetization: 0.00 μB per cell
- Fermi-level density of states: 2.58 states/eV per cell

# 3
VASP calculation (PBE) on a geometry-optimized LaMg2Mo structure.

abc: 4.315 4.315 9.463
angles: 90.00 90.00 90.00
Space group I4/mmm (No. 139)
Unique sites:
1 La 0.000 0.000 0.000
2 Mg 0.000 0.500 0.250
3 Mo 0.000 0.000 0.500

Output
- Magnetization: 0.00 μB per cell
- Fermi-level density of states: 6.06 states/eV per cell
- ΔE_f: 0.34 eV/atom